Entry 1:
First-principles (PBE) data for crystalline NaMn2CoOs at its relaxed geometry, as listed in Alexandria via LeMat-Bulk.

a = 4.140 Å, b = 4.140 Å, c = 4.506 Å
α = 90.00°, β = 90.00°, γ = 90.00°
Atoms (fractional coordinates):
1 Na 0.000 0.000 0.000
2 Mn 0.000 0.500 0.000
3 Mn 0.500 0.000 0.000
4 Co 0.500 0.500 0.500
5 Os 0.000 0.000 0.500

volume: 15.442 Å³ per atom
E: -4.732 eV per atom
total magnetic moment: 0.412 μB/atom

=====

Entry 2:
First-principles (PBE) data for crystalline NaMnCoP2 at its relaxed geometry, as listed in Alexandria via LeMat-Bulk.

a = 3.819 Å, b = 3.819 Å, c = 9.681 Å
α = 90.00°, β = 90.00°, γ = 90.00°
Atoms (fractional coordinates):
1 Na 0.000 0.000 0.000
2 Na 0.500 0.500 0.500
3 Mn 0.000 0.500 0.750
4 Mn 0.500 0.000 0.250
5 Co 0.000 0.500 0.250
6 Co 0.500 0.000 0.750
7 P 0.000 0.000 0.367
8 P 0.000 0.000 0.633
9 P 0.500 0.500 0.133
10 P 0.500 0.500 0.867

volume: 14.118 Å³ per atom
E: -6.205 eV per atom
total magnetic moment: 0.163 μB/atom

=====

Entry 3:
First-principles (PBE) data for crystalline Na2Mn2CoS6 at its relaxed geometry, as listed in Alexandria via LeMat-Bulk.

a = 5.917 Å, b = 5.917 Å, c = 6.950 Å
α = 98.33°, β = 98.33°, γ = 119.98°
Atoms (fractional coordinates):
1 Na 0.168 0.832 0.000
2 Na 0.832 0.168 0.000
3 Mn 0.332 0.668 0.500
4 Mn 0.668 0.332 0.500
5 Co 0.000 0.000 0.500
6 S 0.064 0.390 0.686
7 S 0.263 0.263 0.313
8 S 0.390 0.064 0.686
9 S 0.610 0.936 0.314
10 S 0.737 0.737 0.687
11 S 0.936 0.610 0.314

uncorrected formation energy: -0.691 eV/atom
volume: 18.341 Å³ per atom
E: -5.495 eV per atom
total magnetic moment: 0.451 μB/atom